This record from Alexandria describes an optimized crystal structure of AlPW. The functional is PBEsol.

Results
The density of states at the Fermi level is 0.0883 states/eV/atom. As for the crystal system: tetragonal. As for the symmetry: No. 107. The value obtained for the raw total energy is -8.270 eV per atom. The calculation puts the energy of formation from the pure elements at -0.373 eV per atom.

abc: 3.1734 3.1734 4.6786
angles: 109.82 109.82 90.00
Closest atoms and distances in Å follow each position.
Sites, in units of the cell vectors:
1 P 0.6794 0.6794 0.3587  4 W 2.52, 5 Al 2.65-2.67
2 Al 0.0021 0.0021 0.0042  5 W 2.60-2.70, 5 P 2.65-2.67
3 W 0.3186 0.3186 0.6371  4 P 2.52, 5 Al 2.60-2.70

=====

This record from Alexandria describes an optimized crystal structure of PmGaAg2. The functional is PBEsol.

Results
The density of states at the Fermi level is 0.3547 states/eV/atom. As for the crystal system: cubic. As for the symmetry: No. 225. The value obtained for the raw total energy is -4.096 eV per atom. The calculation puts the energy of formation from the pure elements at -0.321 eV per atom.

abc: 4.8180 4.8180 4.8180
angles: 60.00 60.00 60.00
Closest atoms and distances in Å follow each position.
Sites, in units of the cell vectors:
1 Ag 0.7500 0.7500 0.7500  4 Pm 2.95, 4 Ga 2.95
2 Ag 0.2500 0.2500 0.2500  4 Pm 2.95, 4 Ga 2.95
3 Ga 0.5000 0.5000 0.5000  8 Ag 2.95
4 Pm 0.0000 0.0000 0.0000  8 Ag 2.95

=====

This record from Alexandria describes an optimized crystal structure of TlPRh2. The functional is PBEsol.

Results
The density of states at the Fermi level is 0.8886 states/eV/atom. As for the crystal system: tetragonal. As for the symmetry: No. 99. The value obtained for the raw total energy is -6.316 eV per atom. The calculation puts the energy of formation from the pure elements at -0.141 eV per atom.

abc: 3.2383 3.2383 6.1904
angles: 90.00 90.00 90.00
Closest atoms and distances in Å follow each position.
Sites, in units of the cell vectors:
1 P 0.5000 0.5000 0.8509  5 Rh 2.29-2.36
2 Rh 0.0000 0.0000 0.9453  4 P 2.36
3 Rh 0.5000 0.5000 0.2213  1 P 2.29
4 Tl 0.0000 0.0000 0.4825  5 Rh 2.80-2.87

=====

- Among the records above, which one has the lowest energy of formation from the pure elements?
  AlPW